ZrCrN2 PBE relaxed; formation energy (no corrections) = -0.412 eV/atom; density of states at the Fermi level = 0.0 states/eV/f.u.; space-group type = Fm-3m (225); size of the total moment = 0.00 μB/f.u.
1.0
3.331 -0.474 1.784
0.356 -2.674 2.688
2.094 -3.109 -0.672
N Cr Zr
2 1 1
Direct
0.250 0.250 0.250 N
0.750 0.750 0.750 N
0.000 0.000 0.000 Cr
0.500 0.500 0.500 Zr

=====

PuTiNbIn PBE relaxed; density of states at the Fermi level = 8.3 states/eV/f.u.; energy = -8.669 eV/atom; space-group type = F-43m (216); size of the total moment = 6.20 μB/f.u.
1.0
-1.180 -2.887 3.712
2.849 -3.749 1.156
2.613 0.110 4.082
In Pu Ti Nb
1 1 1 1
Direct
0.750 0.750 0.750 In
0.250 0.250 0.250 Pu
0.000 0.000 0.000 Ti
0.500 0.500 0.500 Nb